Computed, not measured: crystalline MgGeNF2 at its relaxed geometry at the GGA-PBE level of DFT.

Cell lengths 4.1355, 4.1355, 3.9027 Å; angles 90.00, 90.00, 90.00 degrees
Element x y z (fractional)
Mg 0.0000 0.0000 0.0000
Ge 0.5000 0.5000 0.5000
N 0.5000 0.5000 0.0000
F 0.0000 0.5000 0.5000
F 0.5000 0.0000 0.5000

Properties
The value obtained for the energy above the most stable polymorph in this dataset is 0.273 eV per atom. The value obtained for the formation energy without anion corrections is -4.61 eV/f.u. The calculation puts the total energy at -22.890 eV per cell.

Computed, not measured: crystalline MgGeN2F at its relaxed geometry at the GGA-PBE level of DFT.

Cell lengths 4.2014, 4.2014, 3.7284 Å; angles 90.00, 90.00, 90.00 degrees
Element x y z (fractional)
Mg 0.0000 0.0000 0.0000
Ge 0.5000 0.5000 0.5000
N 0.0000 0.5000 0.0000
N 0.5000 0.0000 0.0000
F 0.0000 0.0000 0.5000

Properties
The value obtained for the energy above the most stable polymorph in this dataset is 0.531 eV per atom. The value obtained for the formation energy without anion corrections is 1.67 eV/f.u. The calculation puts the total energy at -23.062 eV per cell.

Computed, not measured: crystalline MgGeNF2 at its relaxed geometry at the GGA-PBE level of DFT.

Cell lengths 3.6545, 3.6545, 4.7205 Å; angles 90.00, 90.00, 90.00 degrees
Element x y z (fractional)
Mg 0.0000 0.0000 0.0000
Ge 0.5000 0.5000 0.5000
N 0.0000 0.0000 0.5000
F 0.0000 0.5000 0.0000
F 0.5000 0.0000 0.0000

Properties
The value obtained for the energy above the most stable polymorph in this dataset is 0.000 eV per atom. The value obtained for the formation energy without anion corrections is -5.98 eV/f.u. The calculation puts the total energy at -24.256 eV per cell.

Computed, not measured: crystalline MgGeN2F at its relaxed geometry at the GGA-PBE level of DFT.

Cell lengths 3.7702, 3.7702, 3.9491 Å; angles 90.00, 90.00, 90.00 degrees
Element x y z (fractional)
Mg 0.0000 0.0000 0.0000
Ge 0.5000 0.5000 0.5000
N 0.0000 0.5000 0.5000
N 0.5000 0.0000 0.5000
F 0.5000 0.5000 0.0000

Properties
The value obtained for the energy above the most stable polymorph in this dataset is 0.000 eV per atom. The value obtained for the formation energy without anion corrections is -0.98 eV/f.u. The calculation puts the total energy at -25.714 eV per cell.

Computed, not measured: crystalline NaMgGeF5 at its relaxed geometry at the GGA-PBE level of DFT.

Cell lengths 5.8960, 5.8960, 7.8744 Å; angles 107.00, 107.00, 96.93 degrees
Element x y z (fractional)
Na 0.0527 0.9473 0.7500
Na 0.9473 0.0527 0.2500
Mg 0.0000 0.5000 0.0000
Mg 0.5000 0.0000 0.5000
Ge 0.4472 0.5528 0.7500
Ge 0.5528 0.4472 0.2500
F 0.1867 0.6292 0.8548
F 0.2014 0.2507 0.0224
F 0.2366 0.7634 0.2500
F 0.2507 0.2014 0.5224
F 0.3708 0.8133 0.6452
F 0.6292 0.1867 0.3548
F 0.7493 0.7986 0.4776
F 0.7634 0.2366 0.7500
F 0.7986 0.7493 0.9776
F 0.8133 0.3708 0.1452

Properties
The value obtained for the formation energy without anion corrections is -21.99 eV/f.u. The calculation puts the total energy at -77.747 eV per cell.

Computed, not measured: crystalline PmMgGeF at its relaxed geometry at the GGA-PBE level of DFT.

Cell lengths 4.1238, 4.1238, 9.0450 Å; angles 90.00, 90.00, 90.00 degrees
Element x y z (fractional)
Pm 0.2500 0.2500 0.1668
Pm 0.7500 0.7500 0.8332
Mg 0.2500 0.7500 0.5000
Mg 0.7500 0.2500 0.5000
Ge 0.2500 0.2500 0.6993
Ge 0.7500 0.7500 0.3007
F 0.2500 0.7500 0.0000
F 0.7500 0.2500 0.0000

Properties
The value obtained for the formation energy without anion corrections is -6.77 eV/f.u. The calculation puts the total energy at -39.210 eV per cell.

Computed, not measured: crystalline Rb2MgGeF6 at its relaxed geometry at the GGA-PBE level of DFT.

Cell lengths 6.0867, 6.0867, 6.0867 Å; angles 60.00, 60.00, 60.00 degrees
Element x y z (fractional)
Rb 0.2500 0.2500 0.2500
Rb 0.7500 0.7500 0.7500
Mg 0.0000 0.0000 0.0000
Ge 0.5000 0.5000 0.5000
F 0.2369 0.2369 0.7631
F 0.2369 0.7631 0.2369
F 0.2369 0.7631 0.7631
F 0.7631 0.2369 0.2369
F 0.7631 0.2369 0.7631
F 0.7631 0.7631 0.2369

Properties
The value obtained for the formation energy without anion corrections is -28.05 eV/f.u. The calculation puts the total energy at -47.422 eV per cell.

Computed, not measured: crystalline MgReGe2F at its relaxed geometry at the GGA-PBE level of DFT.

Cell lengths 4.8999, 4.8999, 5.0058 Å; angles 90.00, 90.00, 90.00 degrees
Element x y z (fractional)
Mg 0.0000 0.0000 0.0000
Re 0.0000 0.0000 0.5000
Ge 0.0000 0.5000 0.0000
Ge 0.5000 0.0000 0.0000
F 0.5000 0.5000 0.5000

Properties
The value obtained for the formation energy without anion corrections is 6.69 eV/f.u. The calculation puts the total energy at -18.462 eV per cell.